P | Computed, not measured: an optimized crystal structure of Sr2LiAgN at the PBE level of DFT.

Unit cell a=7.682 b=3.826 c=9.043 alpha=90.00 beta=109.58 gamma=90.00
Sites, in units of the cell vectors:
Sr  0.164  0.250  0.360
Sr  0.189  0.250  0.979
Sr  0.811  0.750  0.021
Sr  0.836  0.750  0.640
Li  0.438  0.750  0.265
Li  0.562  0.250  0.735
Ag  0.303  0.750  0.698
Ag  0.697  0.250  0.302
N  0.166  0.750  0.172
N  0.834  0.250  0.828

Values from the calculation:
Its crystal system is monoclinic.

Q | Computed, not measured: an optimized crystal structure of Sr2LiAgN at the PBE level of DFT.

Unit cell a=5.326 b=5.326 c=4.142 alpha=90.00 beta=90.00 gamma=90.00
Sites, in units of the cell vectors:
Sr  0.000  0.500  0.000
Sr  0.500  0.000  0.000
Li  0.000  0.000  0.500
Ag  0.500  0.500  0.500
N  0.000  0.000  0.000

Values from the calculation:
Its crystal system is tetragonal.

Quick ranking, most stable first: P, Q.

P | Computed, not measured: an optimized crystal structure of LiAgTeN2 at the PBE level of DFT.

Unit cell a=4.190 b=4.190 c=6.023 alpha=90.00 beta=90.00 gamma=90.00
Sites, in units of the cell vectors:
Li  0.000  0.000  0.000
Ag  0.500  0.500  0.500
Te  0.500  0.500  0.000
N  0.000  0.500  0.500
N  0.500  0.000  0.500

Values from the calculation:
Its crystal system is tetragonal.

Q | Computed, not measured: an optimized crystal structure of LiAgTeN2 at the PBE level of DFT.

Unit cell a=4.083 b=4.083 c=5.337 alpha=90.00 beta=90.00 gamma=90.00
Sites, in units of the cell vectors:
Li  0.000  0.000  0.000
Ag  0.500  0.500  0.500
Te  0.000  0.000  0.500
N  0.000  0.500  0.000
N  0.500  0.000  0.000

Values from the calculation:
Its crystal system is tetragonal.

Quick ranking, most stable first: P, Q.

P | Computed, not measured: an optimized crystal structure of NaLi6Ag at the PBE level of DFT.

Unit cell a=7.675 b=7.675 c=13.472 alpha=90.00 beta=90.00 gamma=125.38
Sites, in units of the cell vectors:
Na  0.000  0.000  0.227
Na  0.000  0.000  0.773
Na  0.236  0.764  0.500
Na  0.764  0.236  0.500
Li  0.000  0.000  0.000
Li  0.000  0.000  0.500
Li  0.144  0.416  0.111
Li  0.144  0.416  0.889
Li  0.165  0.393  0.354
Li  0.165  0.393  0.646
Li  0.244  0.756  0.237
Li  0.244  0.756  0.763
Li  0.393  0.165  0.354
Li  0.393  0.165  0.646
Li  0.416  0.144  0.111
Li  0.416  0.144  0.889
Li  0.500  0.500  0.000
Li  0.500  0.500  0.500
Li  0.584  0.856  0.111
Li  0.584  0.856  0.889
Li  0.607  0.835  0.354
Li  0.607  0.835  0.646
Li  0.756  0.244  0.237
Li  0.756  0.244  0.763
Li  0.835  0.607  0.354
Li  0.835  0.607  0.646
Li  0.856  0.584  0.111
Li  0.856  0.584  0.889
Ag  0.228  0.772  0.000
Ag  0.500  0.500  0.222
Ag  0.500  0.500  0.778
Ag  0.772  0.228  0.000

Values from the calculation:
Its crystal system is orthorhombic.

Q | Computed, not measured: an optimized crystal structure of NaLi6Ag at the PBE level of DFT.

Unit cell a=4.873 b=6.112 c=10.556 alpha=90.00 beta=90.00 gamma=90.00
Sites, in units of the cell vectors:
Na  0.000  0.000  0.000
Na  0.000  0.500  0.500
Li  0.000  0.000  0.508
Li  0.000  0.238  0.746
Li  0.000  0.262  0.246
Li  0.000  0.500  0.008
Li  0.000  0.738  0.246
Li  0.000  0.762  0.746
Li  0.500  0.000  0.176
Li  0.500  0.238  0.414
Li  0.500  0.262  0.914
Li  0.500  0.500  0.676
Li  0.500  0.738  0.914
Li  0.500  0.762  0.414
Ag  0.500  0.000  0.668
Ag  0.500  0.500  0.168

Values from the calculation:
Its crystal system is orthorhombic.

Quick ranking, most stable first: P, Q.

P | Computed, not measured: an optimized crystal structure of Na2LiAg at the PBE level of DFT.

Unit cell a=7.285 b=7.285 c=7.285 alpha=90.00 beta=90.00 gamma=90.00
Sites, in units of the cell vectors:
Na  0.250  0.250  0.250
Na  0.250  0.250  0.750
Na  0.250  0.750  0.250
Na  0.250  0.750  0.750
Na  0.750  0.250  0.250
Na  0.750  0.250  0.750
Na  0.750  0.750  0.250
Na  0.750  0.750  0.750
Li  0.000  0.000  0.000
Li  0.000  0.500  0.500
Li  0.500  0.000  0.500
Li  0.500  0.500  0.000
Ag  0.000  0.000  0.500
Ag  0.000  0.500  0.000
Ag  0.500  0.000  0.000
Ag  0.500  0.500  0.500

Values from the calculation:
Its crystal system is cubic.

Q | Computed, not measured: an optimized crystal structure of Na2LiAg at the PBE level of DFT.

Unit cell a=3.756 b=3.756 c=7.082 alpha=90.00 beta=90.00 gamma=90.00
Sites, in units of the cell vectors:
Na  0.000  0.000  0.232
Na  0.000  0.000  0.768
Li  0.500  0.500  0.500
Ag  0.500  0.500  0.000

Values from the calculation:
Its crystal system is tetragonal.

Quick ranking, most stable first: P, Q.

P | Computed, not measured: an optimized crystal structure of Na2LiAg at the PBE level of DFT.

Unit cell a=5.080 b=5.080 c=12.530 alpha=90.00 beta=90.00 gamma=120.00
Sites, in units of the cell vectors:
Na  0.000  0.000  0.000
Na  0.000  0.000  0.249
Na  0.333  0.667  0.667
Na  0.333  0.667  0.916
Na  0.667  0.333  0.333
Na  0.667  0.333  0.583
Li  0.000  0.000  0.751
Li  0.333  0.667  0.417
Li  0.667  0.333  0.084
Ag  0.000  0.000  0.498
Ag  0.333  0.667  0.165
Ag  0.667  0.333  0.832

Values from the calculation:
Its crystal system is trigonal.

Q | Computed, not measured: an optimized crystal structure of Na2LiAg at the PBE level of DFT.

Unit cell a=4.549 b=4.549 c=4.615 alpha=90.00 beta=90.00 gamma=90.00
Sites, in units of the cell vectors:
Na  0.000  0.500  0.000
Na  0.500  0.000  0.000
Li  0.000  0.000  0.500
Ag  0.500  0.500  0.500

Values from the calculation:
Its crystal system is tetragonal.

Quick ranking, most stable first: P, Q.

P | Computed, not measured: an optimized crystal structure of Na3LiAg at the PBE level of DFT.

Unit cell a=5.660 b=5.660 c=5.660 alpha=90.00 beta=90.00 gamma=90.00
Sites, in units of the cell vectors:
Na  0.000  0.000  0.500
Na  0.000  0.500  0.000
Na  0.500  0.000  0.000
Li  0.500  0.500  0.500
Ag  0.000  0.000  0.000

Values from the calculation:
Its crystal system is cubic.

Q | Computed, not measured: an optimized crystal structure of Na3LiAg at the PBE level of DFT.

Unit cell a=5.479 b=5.479 c=5.479 alpha=90.00 beta=90.00 gamma=90.00
Sites, in units of the cell vectors:
Na  0.000  0.000  0.500
Na  0.000  0.500  0.000
Na  0.500  0.000  0.000
Li  0.000  0.000  0.000
Ag  0.500  0.500  0.500

Values from the calculation:
Its crystal system is cubic.

Quick ranking, most stable first: P, Q.

P | Computed, not measured: an optimized crystal structure of NaLi2Ag3 at the PBE level of DFT.

Unit cell a=5.843 b=5.843 c=4.431 alpha=90.00 beta=90.00 gamma=120.00
Sites, in units of the cell vectors:
Na  0.000  0.000  0.000
Li  0.333  0.667  0.500
Li  0.667  0.333  0.500
Ag  0.000  0.500  0.000
Ag  0.500  0.000  0.000
Ag  0.500  0.500  0.000

Values from the calculation:
Its crystal system is hexagonal.

Q | Computed, not measured: an optimized crystal structure of NaLi2Ag3 at the PBE level of DFT.

Unit cell a=3.220 b=3.220 c=10.485 alpha=90.00 beta=90.00 gamma=90.00
Sites, in units of the cell vectors:
Na  0.000  0.000  0.000
Li  0.000  0.000  0.350
Li  0.000  0.000  0.650
Ag  0.500  0.500  0.209
Ag  0.500  0.500  0.500
Ag  0.500  0.500  0.791

Values from the calculation:
Its crystal system is tetragonal.

Quick ranking, most stable first: Q, P.

P | Computed, not measured: an optimized crystal structure of NaLi3Ag at the PBE level of DFT.

Unit cell a=8.901 b=5.396 c=10.278 alpha=90.00 beta=121.08 gamma=90.00
Sites, in units of the cell vectors:
Na  0.194  0.016  0.059
Na  0.194  0.484  0.559
Na  0.806  0.516  0.441
Na  0.806  0.984  0.941
Li  0.003  0.005  0.668
Li  0.003  0.495  0.168
Li  0.372  0.209  0.905
Li  0.372  0.291  0.405
Li  0.394  0.530  0.156
Li  0.394  0.970  0.656
Li  0.606  0.030  0.344
Li  0.606  0.470  0.844
Li  0.628  0.709  0.595
Li  0.628  0.791  0.095
Li  0.997  0.505  0.832
Li  0.997  0.995  0.332
Ag  0.304  0.711  0.858
Ag  0.304  0.789  0.358
Ag  0.696  0.211  0.642
Ag  0.696  0.289  0.142

Values from the calculation:
Its crystal system is monoclinic.

Q | Computed, not measured: an optimized crystal structure of NaLi3Ag at the PBE level of DFT.

Unit cell a=7.051 b=7.051 c=5.534 alpha=90.00 beta=90.00 gamma=120.00
Sites, in units of the cell vectors:
Na  0.333  0.667  0.250
Na  0.667  0.333  0.750
Li  0.187  0.374  0.750
Li  0.187  0.813  0.750
Li  0.374  0.187  0.250
Li  0.626  0.813  0.750
Li  0.813  0.187  0.250
Li  0.813  0.626  0.250
Ag  0.000  0.000  0.000
Ag  0.000  0.000  0.500

Values from the calculation:
Its crystal system is hexagonal.

R | Computed, not measured: an optimized crystal structure of NaLi3Ag at the PBE level of DFT.

Unit cell a=5.061 b=5.061 c=5.061 alpha=90.00 beta=90.00 gamma=90.00
Sites, in units of the cell vectors:
Na  0.000  0.000  0.000
Li  0.000  0.500  0.500
Li  0.500  0.000  0.500
Li  0.500  0.500  0.000
Ag  0.500  0.500  0.500

Values from the calculation:
Its crystal system is cubic.

Quick ranking, most stable first: P, Q, R.